{"formula": "CeHfV2O6", "functional": "GGA+U", "state": "relaxed", "total_energy_ry_per_atom": -0.6475, "total_magnetization_mub_per_cell": 6.0, "dos_ef_per_ev_cell": 1.977, "cell": [[2.734, 1.578, 4.902], [-2.734, 1.578, 4.902], [0.000, -3.156, 4.902]], "species": ["Ce", "Hf", "V", "V", "O", "O", "O", "O", "O", "O"], "frac_coords": [[0.000, 0.000, 0.000], [0.492, 0.492, 0.492], [0.289, 0.289, 0.289], [0.792, 0.792, 0.792], [0.089, 0.661, 0.420], [0.200, 0.569, 0.881], [0.420, 0.089, 0.661], [0.569, 0.881, 0.200], [0.661, 0.420, 0.089], [0.881, 0.200, 0.569]]}